AlFeCuAu | PBE | relaxed

Calculated values
DFT total energy ... -4.834 eV per atom

Geometry as extended XYZ:
```
16
Lattice="6.063 0.000 0.000 0.000 6.063 0.000 0.000 0.000 6.063" Properties=species:S:1:pos:R:3 pbc="T T T"
Al 0.000 0.000 0.000
Al 0.000 3.031 3.031
Al 3.031 0.000 3.031
Al 3.031 3.031 0.000
Fe 1.516 1.516 1.516
Fe 1.516 4.547 4.547
Fe 4.547 1.516 4.547
Fe 4.547 4.547 1.516
Cu 0.000 0.000 3.031
Cu 0.000 3.031 0.000
Cu 3.031 0.000 0.000
Cu 3.031 3.031 3.031
Au 1.516 1.516 4.547
Au 1.516 4.547 1.516
Au 4.547 1.516 1.516
Au 4.547 4.547 4.547
```